(1)
A relaxed SrHgF2 crystal. Source: Alexandria via LeMat-Bulk, functional PBE.

Calculated values
polymorph energy (0 for the lowest one)	114	meV/atom
DOS at the Fermi energy	0.00	states/eV/f.u.
space group	I-42d, No. 122
crystal system	tetragonal
magnetization	0.00	Bohr magnetons per cell
energy relative to the elements, uncorrected	-10.79	eV per formula unit

POSCAR file:
```
SrHgF2
1.0
6.7663 0.0000 0.0000
0.0000 6.7663 0.0000
0.0000 0.0000 11.9349
Sr Hg F
4 4 8
Direct
0.0000 0.0000 0.0000 Sr
0.0000 0.5000 0.2500 Sr
0.5000 0.0000 0.7500 Sr
0.5000 0.5000 0.5000 Sr
0.0000 0.0000 0.5000 Hg
0.0000 0.5000 0.7500 Hg
0.5000 0.0000 0.2500 Hg
0.5000 0.5000 0.0000 Hg
0.0728 0.2500 0.1250 F
0.2500 0.5728 0.3750 F
0.2500 0.9272 0.8750 F
0.4272 0.2500 0.6250 F
0.5728 0.7500 0.6250 F
0.7500 0.0728 0.8750 F
0.7500 0.4272 0.3750 F
0.9272 0.7500 0.1250 F
```

(2)
A relaxed Cu2SiMo crystal. Source: Alexandria via LeMat-Bulk, functional PBE.

Calculated values
DOS at the Fermi energy	2.75	states/eV/f.u.
space group	Pmmm, No. 47
crystal system	orthorhombic
magnetization	0.00	Bohr magnetons per cell
energy relative to the elements, uncorrected	0.66	eV per formula unit

POSCAR file:
```
Cu2SiMo
1.0
2.6607 0.0000 0.0000
0.0000 3.8637 0.0000
0.0000 0.0000 5.2050
Cu Si Mo
2 1 1
Direct
0.0000 0.0000 0.2442 Cu
0.0000 0.0000 0.7558 Cu
0.5000 0.5000 0.0000 Si
0.5000 0.5000 0.5000 Mo
```

The highest DOS at the Fermi energy belongs to which entry? Cu2SiMo